Entry 1:
Entry from Alexandria: crystalline BeVF4 at its relaxed geometry (PBE with a Hubbard U).

Cell: 4.8584 4.8584 6.7259 Å, 90.00 90.00 112.91°
Element x y z (fractional)
Be 0.1456 0.8544 0.7500
Be 0.8544 0.1456 0.2500
V 0.5000 0.5000 0.0000
V 0.5000 0.5000 0.5000
F 0.2144 0.2769 0.2500
F 0.2475 0.7525 0.5591
F 0.2475 0.7525 0.9409
F 0.2769 0.2144 0.7500
F 0.7231 0.7856 0.2500
F 0.7525 0.2475 0.0591
F 0.7525 0.2475 0.4409
F 0.7856 0.7231 0.7500

Total moment, Bohr magnetons per cell: 6.000
Space-group type: Cmcm, No. 63
Calculated total energy, hartree per atom: -0.222



Entry 2:
Entry from Alexandria: crystalline Be2VF at its relaxed geometry (PBE with a Hubbard U).

Cell: 4.1093 4.1093 4.1093 Å, 60.00 60.00 60.00°
Element x y z (fractional)
Be 0.2500 0.2500 0.2500
Be 0.7500 0.7500 0.7500
V 0.0000 0.0000 0.0000
F 0.5000 0.5000 0.5000

Total moment, Bohr magnetons per cell: 1.123
Energy above the most stable polymorph in this dataset, eV per atom: 0.824
Space-group type: Fm-3m, No. 225
Calculated total energy, hartree per atom: -0.124



Entry 3:
Entry from Alexandria: crystalline Be3WF at its relaxed geometry (PBE with a Hubbard U).

Cell: 3.7252 3.7252 3.7252 Å, 90.00 90.00 90.00°
Element x y z (fractional)
Be 0.0000 0.0000 0.5000
Be 0.0000 0.5000 0.0000
Be 0.5000 0.0000 0.0000
W 0.5000 0.5000 0.5000
F 0.0000 0.0000 0.0000

Total moment, Bohr magnetons per cell: 0.000
Energy above the most stable polymorph in this dataset, eV per atom: 0.000
Space-group type: Pm-3m, No. 221
Calculated total energy, hartree per atom: -0.145



Entry 4:
Entry from Alexandria: crystalline BeW2F at its relaxed geometry (PBE with a Hubbard U).

Cell: 5.2322 5.2322 5.2322 Å, 105.93 105.93 116.81°
Element x y z (fractional)
Be 0.0000 0.0000 0.0000
Be 0.7500 0.2500 0.5000
W 0.1579 0.6250 0.0329
W 0.3750 0.4079 0.5329
W 0.5921 0.1250 0.9671
W 0.8750 0.8421 0.4671
F 0.2500 0.7500 0.5000
F 0.5000 0.5000 0.0000

Total moment, Bohr magnetons per cell: 0.000
Energy above the most stable polymorph in this dataset, eV per atom: 0.240
Space-group type: I-42d, No. 122
Calculated total energy, hartree per atom: -0.149



Entry 5:
Entry from Alexandria: crystalline BeW2F at its relaxed geometry (PBE with a Hubbard U).

Cell: 4.1707 4.1707 4.1707 Å, 60.00 60.00 60.00°
Element x y z (fractional)
Be 0.0000 0.0000 0.0000
W 0.2500 0.2500 0.2500
W 0.7500 0.7500 0.7500
F 0.5000 0.5000 0.5000

Total moment, Bohr magnetons per cell: 0.012
Energy above the most stable polymorph in this dataset, eV per atom: 0.000
Space-group type: Fm-3m, No. 225
Calculated total energy, hartree per atom: -0.158



Entry 6:
Entry from Alexandria: crystalline Be3WF at its relaxed geometry (PBE with a Hubbard U).

Cell: 4.8166 4.8166 4.8166 Å, 90.00 90.00 90.00°
Element x y z (fractional)
Be 0.0000 0.0000 0.5000
Be 0.0000 0.5000 0.0000
Be 0.5000 0.0000 0.0000
W 0.0000 0.0000 0.0000
F 0.5000 0.5000 0.5000

Total moment, Bohr magnetons per cell: 4.523
Energy above the most stable polymorph in this dataset, eV per atom: 1.458
Space-group type: Pm-3m, No. 221
Calculated total energy, hartree per atom: -0.091



Entry 7:
Entry from Alexandria: crystalline ZrBeWF2 at its relaxed geometry (PBE with a Hubbard U).

Cell: 3.7117 3.7117 6.2004 Å, 90.00 90.00 90.00°
Element x y z (fractional)
Zr 0.0000 0.0000 0.0000
Be 0.5000 0.5000 0.5000
W 0.5000 0.5000 0.0000
F 0.0000 0.5000 0.5000
F 0.5000 0.0000 0.5000

Total moment, Bohr magnetons per cell: 2.197
Space-group type: P4/mmm, No. 123
Calculated total energy, hartree per atom: -0.184



- Which value of total moment does entry 2 give?
  1.123 Bohr magnetons per cell



- Which formula does entry 1 have?
  BeVF4



- What is the formula in the third record?
  Be3WF